K3FeF6 PBE+U optimized geometry; density of states at the Fermi level = 0.0000 states/eV/atom; volume = 17.75 Å³/atom; total moment = 5.000 Bohr magnetons per cell; VASP energy = -4.7394 eV per atom
1.0
6.309 0.000 0.000
3.154 5.463 0.000
3.154 1.821 5.151
K F Fe
3 6 1
direct
0.750 0.750 0.750
0.250 0.250 0.250
0.500 0.500 0.500
0.781 0.219 0.781
0.219 0.219 0.781
0.219 0.781 0.219
0.781 0.219 0.219
0.219 0.781 0.781
0.781 0.781 0.219
0.000 0.000 0.000